# 1
Pd5Se | Alexandria via LeMat-Bulk | PBE-GGA | relaxed; space-group type = Cmmm (65); total energy = -4.9518 eV per atom; magnetization = 0.00 μB/f.u.; raw formation energy = -0.3 eV/f.u.; V = 94.7 Å³ per cell
1.0
2.2910 -4.4848 0.0000
2.2910 4.4848 0.0000
0.0000 0.0000 4.6090
Pd Se
5 1
Cartesian
0.0000 0.0000 0.0000 Pd
2.2910 3.0643 2.3045 Pd
2.2910 1.4440 0.0000 Pd
2.2910 -1.4440 0.0000 Pd
2.2910 -3.0643 2.3045 Pd
2.2910 0.0000 2.3045 Se

***

# 2
BaSbBr2 | Alexandria via LeMat-Bulk | PBE-GGA | relaxed; space-group type = I-42d (122); distance to the lowest polymorph of the same formula = 0.63 eV per formula unit; total energy = -3.2915 eV per atom; magnetization = 0.00 μB/f.u.; raw formation energy = -3.8 eV/f.u.; V = 302.2 Å³ per cell
1.0
-2.7003 2.7003 10.3605
2.7003 -2.7003 10.3605
2.7003 2.7003 -10.3605
Ba Sb Br
2 2 4
Cartesian
0.0000 0.0000 0.0000 Ba
0.0000 2.7003 5.1803 Ba
2.7003 0.0000 5.1803 Sb
0.0000 0.0000 10.3605 Sb
1.3502 -1.1954 7.7704 Br
1.5049 1.3502 2.5901 Br
1.3502 3.8958 -2.5901 Br
1.1954 1.3502 12.9507 Br